[1]
A plane-wave DFT calculation with GGA-PBE was carried out for a relaxed Tb6Te3PtS2 crystal.

Unit cell a=7.215 b=12.490 c=7.406 alpha=90.00 beta=109.09 gamma=90.00
Space group C2/m (No. 12)
Inequivalent atoms, fractional coordinates:
Tb 0.235 0.165 0.214 (multiplicity 8)
Tb 0.242 0.500 0.217 (multiplicity 4)
Te 0.000 0.170 0.500 (multiplicity 4)
Te 0.000 0.500 0.500 (multiplicity 2)
Pt 0.000 0.000 0.000 (multiplicity 2)
S 0.000 0.334 0.000 (multiplicity 4)

Summary:
Volume: 26.277 Å³ per atom
Formation energy (no corrections): -1551 meV/atom
Crystal system: monoclinic
DFT total energy: -5.843 eV/atom

=====

[2]
A plane-wave DFT calculation with GGA-PBE was carried out for a relaxed YTcAg3 crystal.

Unit cell a=5.307 b=5.307 c=5.307 alpha=90.00 beta=90.00 gamma=90.00
Space group Pm-3m (No. 221)
Inequivalent atoms, fractional coordinates:
Y 0.000 0.000 0.000 (multiplicity 1)
Tc 0.500 0.500 0.500 (multiplicity 1)
Ag 0.000 0.000 0.500 (multiplicity 3)

Summary:
ΔE_f: 1.661 eV per atom
Volume: 29.902 Å³ per atom
Crystal system: cubic
DFT total energy: -3.416 eV/atom

=====

[3]
A plane-wave DFT calculation with GGA-PBE was carried out for a relaxed Tc2RuCl crystal.

Unit cell a=9.876 b=2.877 c=4.249 alpha=90.00 beta=90.31 gamma=90.00
Space group C2/m (No. 12)
Inequivalent atoms, fractional coordinates:
Tc 0.214 0.000 0.272 (multiplicity 4)
Ru 0.000 0.500 0.500 (multiplicity 2)
Cl 0.000 0.000 0.000 (multiplicity 2)

Summary:
Volume: 15.090 Å³ per atom
Formation energy (no corrections): 567 meV/atom
Crystal system: monoclinic
DFT total energy: -7.397 eV/atom

=====

[4]
A plane-wave DFT calculation with GGA-PBE was carried out for a relaxed BeP2Ru crystal.

Unit cell a=2.918 b=4.956 c=7.230 alpha=90.00 beta=90.00 gamma=90.00
Space group Cmmm (No. 65)
Inequivalent atoms, fractional coordinates:
Be 0.000 0.000 0.000 (multiplicity 2)
P 0.000 0.500 0.237 (multiplicity 4)
Ru 0.000 0.000 0.500 (multiplicity 2)

Summary:
ΔE_f: 0.277 eV per atom
Volume: 13.071 Å³ per atom
Crystal system: orthorhombic
DFT total energy: -5.678 eV/atom

=====

[5]
A plane-wave DFT calculation with GGA-PBE was carried out for a relaxed KHfMg6O7 crystal.

Unit cell a=4.532 b=4.532 c=8.688 alpha=90.00 beta=90.00 gamma=90.00
Space group P4mm (No. 99)
Inequivalent atoms, fractional coordinates:
K 0.000 0.000 0.000 (multiplicity 1)
Hf 0.000 0.000 0.466 (multiplicity 1)
Mg 0.000 0.500 0.210 (multiplicity 2)
Mg 0.000 0.500 0.735 (multiplicity 2)
Mg 0.500 0.500 0.469 (multiplicity 1)
Mg 0.500 0.500 0.966 (multiplicity 1)
O 0.000 0.000 0.701 (multiplicity 1)
O 0.000 0.500 0.479 (multiplicity 2)
O 0.000 0.500 0.965 (multiplicity 2)
O 0.500 0.500 0.222 (multiplicity 1)
O 0.500 0.500 0.715 (multiplicity 1)

Summary:
Volume: 11.896 Å³ per atom
Formation energy (no corrections): -2065 meV/atom
Crystal system: tetragonal
DFT total energy: -5.753 eV/atom

=====

[6]
A plane-wave DFT calculation with GGA-PBE was carried out for a relaxed Sr2AlPd3 crystal.

Unit cell a=12.845 b=8.650 c=5.368 alpha=90.00 beta=90.00 gamma=90.00
Space group Cmcm (No. 63)
Inequivalent atoms, fractional coordinates:
Sr 0.150 0.178 0.250 (multiplicity 8)
Al 0.000 0.385 0.750 (multiplicity 4)
Pd 0.000 0.098 0.750 (multiplicity 4)
Pd 0.147 0.500 0.000 (multiplicity 8)

Summary:
ΔE_f: -0.614 eV per atom
Volume: 24.850 Å³ per atom
Crystal system: orthorhombic
DFT total energy: -4.395 eV/atom

=====

[7]
A plane-wave DFT calculation with GGA-PBE was carried out for a relaxed Na4Zr3ZnSe8 crystal.

Unit cell a=7.8041 b=7.8041 c=21.1264 alpha=90.00 beta=90.00 gamma=120.00
Space group R-3m (No. 166, hexagonal axes)
Inequivalent atoms, fractional coordinates:
Na 0.0000 0.0000 0.0000 (multiplicity 3)
Na 0.0000 0.5000 0.0000 (multiplicity 9)
Zr 0.0000 0.5000 0.5000 (multiplicity 9)
Zn 0.0000 0.0000 0.5000 (multiplicity 3)
Se 0.0000 0.0000 0.2423 (multiplicity 6)
Se 0.0034 0.5017 0.2396 (multiplicity 18)

Summary:
Volume: 23.217 Å³ per atom
Formation energy (no corrections): -1188 meV/atom
Crystal system: trigonal
DFT total energy: -4.942 eV/atom

=====

[8]
A plane-wave DFT calculation with GGA-PBE was carried out for a relaxed CsAg2GeTe4 crystal.

Unit cell a=7.612 b=7.618 c=9.796 alpha=90.00 beta=90.00 gamma=90.00
Space group I222 (No. 23)
Inequivalent atoms, fractional coordinates:
Cs 0.000 0.000 0.000 (multiplicity 2)
Ag 0.000 0.500 0.249 (multiplicity 4)
Ge 0.000 0.000 0.500 (multiplicity 2)
Te 0.196 0.196 0.341 (multiplicity 8)

Summary:
Volume: 35.501 Å³ per atom
Formation energy (no corrections): -233 meV/atom
Crystal system: orthorhombic
DFT total energy: -3.201 eV/atom

=====

Question: The highest volume belongs to which entry?
Answer: CsAg2GeTe4